1.
DFT (GGA-PBEsol) results for crystalline Ca2IrSe at its relaxed geometry.

a b c (Å): 4.0966 4.0991 10.6263
angles (deg): 90.00 90.00 90.00
With the nearest neighbours (Å) after each atom.
Atoms (fractional coordinates):
Ca 0.0000 0.0000 0.0000  4 Se 2.99, 3 Ir 3.05
Ca 0.0000 0.5000 0.5000  4 Se 2.99, 3 Ir 3.05
Ca 0.5000 0.0000 0.2817  4 Ir 2.99, 3 Se 3.05-3.06
Ca 0.5000 0.5000 0.7817  4 Ir 2.99, 3 Se 3.05-3.06
Ir 0.0000 0.0000 0.7125  2 Se 2.55
Ir 0.0000 0.5000 0.2125  2 Se 2.55
Se 0.5000 0.0000 0.5695  2 Ir 2.55
Se 0.5000 0.5000 0.0695  2 Ir 2.55

Properties
For the density of states at the Fermi level, the calculation gives 5.74 states/eV/cell. The value obtained for the volume is 22.305 A^3/atom. For the total energy, the calculation gives -41.97 eV/cell. Its energy relative to the elements, uncorrected is -0.76 eV per atom.

2.
DFT (GGA-PBEsol) results for crystalline Ca2IrSe at its relaxed geometry.

a b c (Å): 6.3503 7.3953 3.4925
angles (deg): 90.00 90.00 90.00
With the nearest neighbours (Å) after each atom.
Atoms (fractional coordinates):
Ca 0.2500 0.2500 0.0000  4 Se 3.00, 4 Ir 3.00, 2 Ca 3.18
Ca 0.2500 0.7500 0.0000  4 Se 3.00, 4 Ir 3.00, 2 Ca 3.18
Ca 0.7500 0.2500 0.0000  4 Se 3.00, 4 Ir 3.00, 2 Ca 3.18
Ca 0.7500 0.7500 0.0000  4 Se 3.00, 4 Ir 3.00, 2 Ca 3.18
Ir 0.0000 0.0000 0.5000  8 Ca 3.00, 2 Se 3.18
Ir 0.5000 0.5000 0.5000  8 Ca 3.00, 2 Se 3.18
Se 0.0000 0.5000 0.5000  8 Ca 3.00, 2 Ir 3.18
Se 0.5000 0.0000 0.5000  8 Ca 3.00, 2 Ir 3.18

Properties
For the density of states at the Fermi level, the calculation gives 2.50 states/eV/cell. The value obtained for the volume is 20.502 A^3/atom. For the total energy, the calculation gives -41.68 eV/cell. Its energy relative to the elements, uncorrected is -0.73 eV per atom.

3.
DFT (GGA-PBEsol) results for crystalline Ca2IrSe at its relaxed geometry.

a b c (Å): 4.8533 4.8533 3.5280
angles (deg): 90.00 90.00 90.00
With the nearest neighbours (Å) after each atom.
Atoms (fractional coordinates):
Ca 0.0000 0.5000 0.0000  4 Se 3.00, 4 Ir 3.00
Ca 0.5000 0.0000 0.0000  4 Se 3.00, 4 Ir 3.00
Ir 0.0000 0.0000 0.5000  8 Ca 3.00
Se 0.5000 0.5000 0.5000  8 Ca 3.00

Properties
For the density of states at the Fermi level, the calculation gives 2.26 states/eV/cell. The value obtained for the volume is 20.775 A^3/atom. For the total energy, the calculation gives -20.75 eV/cell. Its energy relative to the elements, uncorrected is -0.70 eV per atom.

4.
DFT (GGA-PBEsol) results for crystalline Ca2SiIrSe at its relaxed geometry.

a b c (Å): 5.3950 5.3950 4.4600
angles (deg): 90.00 90.00 90.00
With the nearest neighbours (Å) after each atom.
Atoms (fractional coordinates):
Ca 0.0000 0.5000 0.0000  2 Ir 2.70
Ca 0.5000 0.0000 0.0000  2 Ir 2.70
Si 0.0000 0.0000 0.5000  2 Ir 2.23
Ir 0.0000 0.0000 0.0000  2 Si 2.23
Se 0.5000 0.5000 0.5000  8 Ca 3.50, 4 Si 3.81

Properties
For the density of states at the Fermi level, the calculation gives 1.44 states/eV/cell. The value obtained for the volume is 25.963 A^3/atom. For the total energy, the calculation gives -26.90 eV/cell. Its energy relative to the elements, uncorrected is -0.64 eV per atom.

5.
DFT (GGA-PBEsol) results for crystalline CaSiIr2 at its relaxed geometry.

a b c (Å): 2.7973 3.8825 6.0886
angles (deg): 90.00 90.00 90.00
With the nearest neighbours (Å) after each atom.
Atoms (fractional coordinates):
Ca 0.0000 0.0000 0.0000  2 Ca 2.80, 5 Ir 2.91-2.95, 4 Si 3.13
Si 0.5000 0.5000 0.6680  5 Ir 2.34-2.55
Ir 0.0000 0.0000 0.5227  4 Si 2.55, 6 Ir 2.80
Ir 0.5000 0.5000 0.2835  1 Si 2.34

Properties
For the density of states at the Fermi level, the calculation gives 2.73 states/eV/cell. The value obtained for the volume is 16.531 A^3/atom. For the total energy, the calculation gives -28.29 eV/cell. Its energy relative to the elements, uncorrected is -0.19 eV per atom.

6.
DFT (GGA-PBEsol) results for crystalline CaSiIr2 at its relaxed geometry.

a b c (Å): 2.8830 2.8830 7.7762
angles (deg): 90.00 90.00 90.00
With the nearest neighbours (Å) after each atom.
Atoms (fractional coordinates):
Ca 0.0000 0.0000 0.0000  4 Ca 2.88, 4 Ir 2.98, 4 Si 3.09
Si 0.5000 0.5000 0.7007  4 Ir 2.47
Ir 0.0000 0.0000 0.5212  4 Si 2.47
Ir 0.5000 0.5000 0.2790  8 Ir 2.78-2.88, 4 Ca 2.98

Properties
For the density of states at the Fermi level, the calculation gives 3.16 states/eV/cell. The value obtained for the volume is 16.158 A^3/atom. For the total energy, the calculation gives -28.30 eV/cell. Its energy relative to the elements, uncorrected is -0.19 eV per atom.

7.
DFT (GGA-PBEsol) results for crystalline CaSiIr2 at its relaxed geometry.

a b c (Å): 3.0267 3.0267 24.5723
angles (deg): 90.00 90.00 120.00
With the nearest neighbours (Å) after each atom.
Atoms (fractional coordinates):
Ca 0.0000 0.0000 0.0000  6 Ir 2.97, 6 Ca 3.03
Ca 0.3333 0.6667 0.6667  6 Ir 2.97, 6 Ca 3.03
Ca 0.6667 0.3333 0.3333  6 Ir 2.97, 6 Ca 3.03
Si 0.0000 0.0000 0.5000  6 Ir 2.43
Si 0.3333 0.6667 0.1667  6 Ir 2.43
Si 0.6667 0.3333 0.8333  6 Ir 2.43
Ir 0.0000 0.0000 0.2355  3 Si 2.43
Ir 0.0000 0.0000 0.7645  3 Si 2.43
Ir 0.3333 0.6667 0.4311  3 Si 2.43
Ir 0.3333 0.6667 0.9022  3 Si 2.43
Ir 0.6667 0.3333 0.0978  3 Si 2.43
Ir 0.6667 0.3333 0.5689  3 Si 2.43

Properties
For the density of states at the Fermi level, the calculation gives 9.90 states/eV/cell. The value obtained for the volume is 16.245 A^3/atom. For the total energy, the calculation gives -83.92 eV/cell. Its energy relative to the elements, uncorrected is -0.11 eV per atom.

8.
DFT (GGA-PBEsol) results for crystalline CaSi7Ir3 at its relaxed geometry.

a b c (Å): 7.9675 7.9675 7.9675
angles (deg): 56.73 56.73 56.73
With the nearest neighbours (Å) after each atom.
Atoms (fractional coordinates):
Ca 0.0000 0.0000 0.0000  6 Ir 3.07, 12 Si 3.12-3.16
Ca 0.5000 0.5000 0.5000  6 Ir 3.07, 12 Si 3.12-3.16
Si 0.0673 0.8501 0.6719  3 Ir 2.45-2.51, 4 Si 2.60-2.73
Si 0.1499 0.3281 0.9327  3 Ir 2.45-2.51, 4 Si 2.60-2.73
Si 0.1719 0.3501 0.5673  3 Ir 2.45-2.51, 4 Si 2.60-2.73
Si 0.2500 0.2500 0.2500  3 Ir 2.42, 6 Si 2.71
Si 0.3281 0.9327 0.1499  3 Ir 2.45-2.51, 4 Si 2.60-2.73
Si 0.3501 0.5673 0.1719  3 Ir 2.45-2.51, 4 Si 2.60-2.73
Si 0.4327 0.8281 0.6499  3 Ir 2.45-2.51, 4 Si 2.60-2.73
Si 0.5673 0.1719 0.3501  3 Ir 2.45-2.51, 4 Si 2.60-2.73
Si 0.6499 0.4327 0.8281  3 Ir 2.45-2.51, 4 Si 2.60-2.73
Si 0.6719 0.0673 0.8501  3 Ir 2.45-2.51, 4 Si 2.60-2.73
Si 0.7500 0.7500 0.7500  3 Ir 2.42, 6 Si 2.71
Si 0.8281 0.6499 0.4327  3 Ir 2.45-2.51, 4 Si 2.60-2.73
Si 0.8501 0.6719 0.0673  3 Ir 2.45-2.51, 4 Si 2.60-2.73
Si 0.9327 0.1499 0.3281  3 Ir 2.45-2.51, 4 Si 2.60-2.73
Ir 0.0702 0.7500 0.4298  7 Si 2.42-2.51
Ir 0.2500 0.5702 0.9298  7 Si 2.42-2.51
Ir 0.4298 0.0702 0.7500  7 Si 2.42-2.51
Ir 0.5702 0.9298 0.2500  7 Si 2.42-2.51
Ir 0.7500 0.4298 0.0702  7 Si 2.42-2.51
Ir 0.9298 0.2500 0.5702  7 Si 2.42-2.51

Properties
For the density of states at the Fermi level, the calculation gives 6.17 states/eV/cell. The value obtained for the volume is 15.029 A^3/atom. For the total energy, the calculation gives -159.45 eV/cell. Its energy relative to the elements, uncorrected is -0.72 eV per atom.

9.
DFT (GGA-PBEsol) results for crystalline Ca2Si2Ir at its relaxed geometry.

a b c (Å): 6.4326 6.4326 4.5876
angles (deg): 90.00 90.00 90.00
With the nearest neighbours (Å) after each atom.
Atoms (fractional coordinates):
Ca 0.1788 0.3212 0.0000  6 Si 2.86-3.07
Ca 0.3212 0.8212 0.0000  6 Si 2.86-3.07
Ca 0.6788 0.1788 0.0000  6 Si 2.86-3.07
Ca 0.8212 0.6788 0.0000  6 Si 2.86-3.07
Si 0.1341 0.6341 0.5000  1 Si 2.44, 2 Ir 2.51
Si 0.3659 0.1341 0.5000  1 Si 2.44, 2 Ir 2.51
Si 0.6341 0.8659 0.5000  1 Si 2.44, 2 Ir 2.51
Si 0.8659 0.3659 0.5000  1 Si 2.44, 2 Ir 2.51
Ir 0.0000 0.0000 0.5000  4 Si 2.51
Ir 0.5000 0.5000 0.5000  4 Si 2.51

Properties
For the density of states at the Fermi level, the calculation gives 3.38 states/eV/cell. The value obtained for the volume is 18.983 A^3/atom. For the total energy, the calculation gives -57.85 eV/cell. Its energy relative to the elements, uncorrected is -0.67 eV per atom.

10.
DFT (GGA-PBEsol) results for crystalline SrCaIr2 at its relaxed geometry.

a b c (Å): 4.4162 4.4162 8.1992
angles (deg): 90.00 90.00 90.00
With the nearest neighbours (Å) after each atom.
Atoms (fractional coordinates):
Sr 0.0000 0.0000 0.0000  8 Ir 3.01, 4 Ca 3.12
Sr 0.5000 0.5000 0.5000  8 Ir 3.01, 4 Ca 3.12
Ca 0.0000 0.0000 0.5000  8 Ir 3.01, 4 Sr 3.12
Ca 0.5000 0.5000 0.0000  8 Ir 3.01, 4 Sr 3.12
Ir 0.0000 0.5000 0.2500  4 Ca 3.01, 4 Sr 3.01, 4 Ir 3.12
Ir 0.0000 0.5000 0.7500  4 Ca 3.01, 4 Sr 3.01, 4 Ir 3.12
Ir 0.5000 0.0000 0.2500  4 Ca 3.01, 4 Sr 3.01, 4 Ir 3.12
Ir 0.5000 0.0000 0.7500  4 Ca 3.01, 4 Sr 3.01, 4 Ir 3.12

Properties
For the density of states at the Fermi level, the calculation gives 5.73 states/eV/cell. The value obtained for the volume is 19.989 A^3/atom. As for the calculated formation energy: 73 kJ/mol of formula units. For the total energy, the calculation gives -45.72 eV/cell.

11.
DFT (GGA-PBEsol) results for crystalline SrCaIr2 at its relaxed geometry.

a b c (Å): 4.4819 4.5882 9.9771
angles (deg): 90.00 90.00 90.00
With the nearest neighbours (Å) after each atom.
Atoms (fractional coordinates):
Sr 0.0000 0.0000 0.0000  3 Ir 2.99-3.07
Sr 0.0000 0.5000 0.5000  3 Ir 2.99-3.07
Ca 0.5000 0.0000 0.2913  3 Ir 2.91-3.20
Ca 0.5000 0.5000 0.7913  3 Ir 2.91-3.20
Ir 0.0000 0.0000 0.6925  2 Ir 2.38
Ir 0.0000 0.5000 0.1925  2 Ir 2.38
Ir 0.5000 0.0000 0.6118  2 Ir 2.38
Ir 0.5000 0.5000 0.1118  2 Ir 2.38

Properties
For the density of states at the Fermi level, the calculation gives 3.64 states/eV/cell. The value obtained for the volume is 25.645 A^3/atom. As for the calculated formation energy: -75 kJ/mol of formula units. For the total energy, the calculation gives -48.80 eV/cell.

12.
DFT (GGA-PBEsol) results for crystalline Sr3CaIr at its relaxed geometry.

a b c (Å): 5.8437 5.8437 5.8437
angles (deg): 90.00 90.00 90.00
With the nearest neighbours (Å) after each atom.
Atoms (fractional coordinates):
Sr 0.0000 0.0000 0.5000  2 Ir 2.92
Sr 0.0000 0.5000 0.0000  2 Ir 2.92
Sr 0.5000 0.0000 0.0000  2 Ir 2.92
Ca 0.5000 0.5000 0.5000  12 Sr 4.13
Ir 0.0000 0.0000 0.0000  6 Sr 2.92

Properties
For the density of states at the Fermi level, the calculation gives 3.16 states/eV/cell. The value obtained for the volume is 39.912 A^3/atom. As for the calculated formation energy: -17 kJ/mol of formula units. For the total energy, the calculation gives -17.66 eV/cell.

13.
DFT (GGA-PBEsol) results for crystalline SrCaIr2 at its relaxed geometry.

a b c (Å): 6.8040 6.8040 6.8040
angles (deg): 90.00 90.00 90.00
With the nearest neighbours (Å) after each atom.
Atoms (fractional coordinates):
Sr 0.0000 0.0000 0.0000  4 Ca 2.95, 4 Ir 2.95
Sr 0.0000 0.5000 0.5000  4 Ca 2.95, 4 Ir 2.95
Sr 0.5000 0.0000 0.5000  4 Ca 2.95, 4 Ir 2.95
Sr 0.5000 0.5000 0.0000  4 Ca 2.95, 4 Ir 2.95
Ca 0.2500 0.2500 0.2500  4 Ir 2.95, 4 Sr 2.95
Ca 0.2500 0.7500 0.7500  4 Ir 2.95, 4 Sr 2.95
Ca 0.7500 0.2500 0.7500  4 Ir 2.95, 4 Sr 2.95
Ca 0.7500 0.7500 0.2500  4 Ir 2.95, 4 Sr 2.95
Ir 0.0000 0.0000 0.5000  4 Ir 2.95, 4 Ca 2.95
Ir 0.0000 0.5000 0.0000  4 Ca 2.95, 4 Ir 2.95
Ir 0.2500 0.2500 0.7500  4 Ir 2.95, 4 Sr 2.95
Ir 0.2500 0.7500 0.2500  4 Ir 2.95, 4 Sr 2.95
Ir 0.5000 0.0000 0.0000  4 Ca 2.95, 4 Ir 2.95
Ir 0.5000 0.5000 0.5000  4 Ca 2.95, 4 Ir 2.95
Ir 0.7500 0.2500 0.2500  4 Ir 2.95, 4 Sr 2.95
Ir 0.7500 0.7500 0.7500  4 Ir 2.95, 4 Sr 2.95

Properties
For the density of states at the Fermi level, the calculation gives 20.94 states/eV/cell. The value obtained for the volume is 19.687 A^3/atom. As for the calculated formation energy: 119 kJ/mol of formula units. For the total energy, the calculation gives -89.53 eV/cell.

14.
DFT (GGA-PBEsol) results for crystalline Sr4CaIr at its relaxed geometry.

a b c (Å): 6.7452 6.7452 6.7452
angles (deg): 60.00 60.00 60.00
With the nearest neighbours (Å) after each atom.
Atoms (fractional coordinates):
Sr 0.1231 0.1231 0.1231  6 Sr 3.32-3.42
Sr 0.1231 0.1231 0.6308  6 Sr 3.32-3.42
Sr 0.1231 0.6308 0.1231  6 Sr 3.32-3.42
Sr 0.6308 0.1231 0.1231  6 Sr 3.32-3.42
Ca 0.5000 0.5000 0.5000  12 Sr 3.96, 4 Ir 4.13
Ir 0.7500 0.7500 0.7500  12 Sr 3.95, 4 Ca 4.13

Properties
For the density of states at the Fermi level, the calculation gives 8.65 states/eV/cell. The value obtained for the volume is 36.167 A^3/atom. As for the calculated formation energy: 511 kJ/mol of formula units. For the total energy, the calculation gives -14.02 eV/cell.